A relaxed structure of Tb5DyEr8. Source: Alexandria, functional PBE.

Summary:
Fermi-level density of states ... 20.034 states/eV per cell
M_tot ... 0.00 μB per cell
ΔH_f (0 K) ... 253 meV/atom
Crystal system ... tetragonal

The structure in CIF format:
```
data_Tb5DyEr8
_chemical_formula_sum 'Tb5 Dy1 Er8'
_cell_length_a 8.353
_cell_length_b 8.353
_cell_length_c 8.353
_cell_angle_alpha 110.94
_cell_angle_beta 106.57
_cell_angle_gamma 110.94
_space_group_name_H-M_alt 'P 1'
_space_group_IT_number 1
loop_
_space_group_symop_operation_xyz
'x,y,z'
loop_
_atom_site_label
_atom_site_fract_x
_atom_site_fract_y
_atom_site_fract_z
Tb1 0.812 0.676 0.711
Tb2 0.035 0.324 0.135
Tb3 0.865 0.899 0.188
Tb4 0.500 0.000 0.500
Tb5 0.289 0.101 0.965
Er1 0.574 0.914 0.836
Er2 0.081 0.747 0.476
Er3 0.524 0.605 0.271
Er4 0.164 0.738 0.079
Er5 0.340 0.262 0.426
Er6 0.921 0.086 0.660
Er7 0.729 0.253 0.334
Er8 0.666 0.395 0.919
Dy1 0.250 0.500 0.750
```

---

A relaxed structure of Tb2Dy5Er2. Source: Alexandria, functional PBE.

Summary:
Fermi-level density of states ... 28.745 states/eV per cell
M_tot ... 0.00 μB per cell
ΔH_f (0 K) ... 229 meV/atom
Energy above the lowest structure with this stoichiometry ... 212 meV/atom
Crystal system ... orthorhombic

The structure in CIF format:
```
data_Tb2Dy5Er2
_chemical_formula_sum 'Tb4 Dy10 Er4'
_cell_length_a 11.632
_cell_length_b 6.676
_cell_length_c 9.976
_cell_angle_alpha 109.55
_cell_angle_beta 125.66
_cell_angle_gamma 90.00
_space_group_name_H-M_alt 'P 1'
_space_group_IT_number 1
loop_
_space_group_symop_operation_xyz
'x,y,z'
loop_
_atom_site_label
_atom_site_fract_x
_atom_site_fract_y
_atom_site_fract_z
Dy1 0.001 0.153 0.500
Dy2 0.380 0.030 0.286
Dy3 0.999 0.653 0.500
Dy4 0.801 0.760 0.103
Dy5 0.406 0.530 0.286
Dy6 0.198 0.157 0.897
Dy7 0.620 0.743 0.714
Dy8 0.594 0.243 0.714
Dy9 0.199 0.657 0.897
Dy10 0.802 0.260 0.103
Er1 0.000 0.019 0.000
Er2 0.262 0.359 0.500
Er3 0.500 0.519 0.000
Er4 0.738 0.859 0.500
Tb1 0.371 0.930 0.746
Tb2 0.125 0.685 0.254
Tb3 0.629 0.185 0.254
Tb4 0.875 0.430 0.746
```

---

A relaxed structure of TbDy12Er7. Source: Alexandria, functional PBE.

Summary:
Fermi-level density of states ... 26.521 states/eV per cell
M_tot ... 0.00 μB per cell
ΔH_f (0 K) ... 333 meV/atom
Energy above the lowest structure with this stoichiometry ... 30 meV/atom
Crystal system ... trigonal

The structure in CIF format:
```
data_TbDy12Er7
_chemical_formula_sum 'Tb1 Dy12 Er7'
_cell_length_a 6.629
_cell_length_b 10.865
_cell_length_c 10.865
_cell_angle_alpha 64.03
_cell_angle_beta 78.27
_cell_angle_gamma 101.73
_space_group_name_H-M_alt 'P 1'
_space_group_IT_number 1
loop_
_space_group_symop_operation_xyz
'x,y,z'
loop_
_atom_site_label
_atom_site_fract_x
_atom_site_fract_y
_atom_site_fract_z
Er1 0.076 0.859 0.304
Er2 0.924 0.141 0.696
Er3 0.217 0.837 0.859
Er4 0.783 0.163 0.141
Er5 0.620 0.696 0.163
Er6 0.380 0.304 0.837
Er7 0.500 0.000 0.000
Dy1 0.280 0.213 0.211
Dy2 0.793 0.063 0.460
Dy3 0.720 0.787 0.789
Dy4 0.933 0.423 0.787
Dy5 0.067 0.577 0.213
Dy6 0.207 0.937 0.540
Dy7 0.747 0.540 0.523
Dy8 0.253 0.460 0.477
Dy9 0.490 0.211 0.577
Dy10 0.730 0.477 0.063
Dy11 0.270 0.523 0.937
Dy12 0.510 0.789 0.423
Tb1 0.000 0.000 0.000
```

---

A relaxed structure of Tb12Dy5Er. Source: Alexandria, functional PBE.

Summary:
Fermi-level density of states ... 24.362 states/eV per cell
M_tot ... 0.00 μB per cell
ΔH_f (0 K) ... 17 meV/atom
Crystal system ... monoclinic

The structure in CIF format:
```
data_Tb12Dy5Er
_chemical_formula_sum 'Tb12 Dy5 Er1'
_cell_length_a 15.021
_cell_length_b 10.624
_cell_length_c 5.013
_cell_angle_alpha 90.00
_cell_angle_beta 90.00
_cell_angle_gamma 45.09
_space_group_name_H-M_alt 'P 1'
_space_group_IT_number 1
loop_
_space_group_symop_operation_xyz
'x,y,z'
loop_
_atom_site_label
_atom_site_fract_x
_atom_site_fract_y
_atom_site_fract_z
Er1 0.000 0.000 0.000
Tb1 0.500 0.667 0.500
Tb2 0.166 0.000 0.500
Tb3 0.500 0.333 0.500
Tb4 0.667 0.000 0.000
Tb5 0.000 0.667 0.000
Tb6 0.667 0.333 0.000
Tb7 0.333 0.000 0.000
Tb8 0.167 0.333 0.500
Tb9 0.333 0.667 0.000
Tb10 0.834 0.000 0.500
Tb11 0.000 0.333 0.000
Tb12 0.833 0.667 0.500
Dy1 0.166 0.667 0.500
Dy2 0.834 0.333 0.500
Dy3 0.333 0.333 0.000
Dy4 0.500 0.000 0.500
Dy5 0.667 0.667 0.000
```

---

A relaxed structure of TbDy4Er. Source: Alexandria, functional PBE.

Summary:
Fermi-level density of states ... 9.882 states/eV per cell
M_tot ... 0.11 μB per cell
ΔH_f (0 K) ... 267 meV/atom
Energy above the lowest structure with this stoichiometry ... 251 meV/atom
Crystal system ... cubic

The structure in CIF format:
```
data_TbDy4Er
_chemical_formula_sum 'Tb1 Dy4 Er1'
_cell_length_a 6.526
_cell_length_b 6.526
_cell_length_c 6.526
_cell_angle_alpha 60.00
_cell_angle_beta 60.00
_cell_angle_gamma 60.00
_space_group_name_H-M_alt 'P 1'
_space_group_IT_number 1
loop_
_space_group_symop_operation_xyz
'x,y,z'
loop_
_atom_site_label
_atom_site_fract_x
_atom_site_fract_y
_atom_site_fract_z
Dy1 0.625 0.625 0.625
Dy2 0.625 0.125 0.625
Dy3 0.625 0.625 0.125
Dy4 0.125 0.625 0.625
Tb1 0.250 0.250 0.250
Er1 0.000 0.000 0.000
```

---

A relaxed structure of Tb6DyEr2. Source: Alexandria, functional PBE.

Summary:
Fermi-level density of states ... 12.199 states/eV per cell
M_tot ... 0.00 μB per cell
ΔH_f (0 K) ... 16 meV/atom
Energy above the lowest structure with this stoichiometry ... 0 meV/atom
Crystal system ... triclinic

The structure in CIF format:
```
data_Tb6DyEr2
_chemical_formula_sum 'Tb6 Dy1 Er2'
_cell_length_a 3.542
_cell_length_b 8.662
_cell_length_c 12.746
_cell_angle_alpha 132.76
_cell_angle_beta 82.01
_cell_angle_gamma 90.07
_space_group_name_H-M_alt 'P 1'
_space_group_IT_number 1
loop_
_space_group_symop_operation_xyz
'x,y,z'
loop_
_atom_site_label
_atom_site_fract_x
_atom_site_fract_y
_atom_site_fract_z
Tb1 0.222 0.890 0.557
Tb2 0.778 0.110 0.443
Tb3 0.111 0.445 0.779
Tb4 0.333 0.333 0.333
Tb5 0.667 0.667 0.667
Tb6 0.889 0.555 0.221
Er1 0.445 0.777 0.110
Er2 0.555 0.223 0.890
Dy1 0.000 0.000 0.000
```

---

A relaxed structure of Tb3Dy7Er2. Source: Alexandria, functional PBE.

Summary:
Fermi-level density of states ... 18.020 states/eV per cell
M_tot ... 0.00 μB per cell
ΔH_f (0 K) ... 110 meV/atom
Energy above the lowest structure with this stoichiometry ... 0 meV/atom
Crystal system ... orthorhombic

The structure in CIF format:
```
data_Tb3Dy7Er2
_chemical_formula_sum 'Tb3 Dy7 Er2'
_cell_length_a 3.563
_cell_length_b 5.662
_cell_length_c 19.000
_cell_angle_alpha 98.57
_cell_angle_beta 90.00
_cell_angle_gamma 90.00
_space_group_name_H-M_alt 'P 1'
_space_group_IT_number 1
loop_
_space_group_symop_operation_xyz
'x,y,z'
loop_
_atom_site_label
_atom_site_fract_x
_atom_site_fract_y
_atom_site_fract_z
Dy1 0.000 0.000 0.000
Dy2 0.500 0.072 0.144
Dy3 0.500 0.928 0.856
Dy4 0.000 0.769 0.538
Dy5 0.000 0.592 0.185
Dy6 0.000 0.231 0.462
Dy7 0.000 0.408 0.815
Er1 0.000 0.852 0.705
Er2 0.000 0.148 0.295
Tb1 0.500 0.500 0.000
Tb2 0.500 0.315 0.630
Tb3 0.500 0.685 0.370
```

---

A relaxed structure of Tb3Dy3Er8. Source: Alexandria, functional PBE.

Summary:
Fermi-level density of states ... 21.315 states/eV per cell
M_tot ... 0.00 μB per cell
ΔH_f (0 K) ... 117 meV/atom
Crystal system ... orthorhombic

The structure in CIF format:
```
data_Tb3Dy3Er8
_chemical_formula_sum 'Tb3 Dy3 Er8'
_cell_length_a 5.562
_cell_length_b 9.532
_cell_length_c 9.532
_cell_angle_alpha 101.60
_cell_angle_beta 73.03
_cell_angle_gamma 73.03
_space_group_name_H-M_alt 'P 1'
_space_group_IT_number 1
loop_
_space_group_symop_operation_xyz
'x,y,z'
loop_
_atom_site_label
_atom_site_fract_x
_atom_site_fract_y
_atom_site_fract_z
Tb1 0.000 0.818 0.182
Tb2 0.000 0.182 0.818
Tb3 0.500 0.000 0.000
Er1 0.842 0.762 0.554
Er2 0.341 0.881 0.437
Er3 0.158 0.238 0.446
Er4 0.158 0.446 0.238
Er5 0.659 0.119 0.563
Er6 0.842 0.554 0.762
Er7 0.659 0.563 0.119
Er8 0.341 0.437 0.881
Dy1 0.500 0.500 0.500
Dy2 0.204 0.796 0.796
Dy3 0.796 0.204 0.204
```

---

A relaxed structure of Tb15Dy4Er. Source: Alexandria, functional PBE.

Summary:
Fermi-level density of states ... 26.360 states/eV per cell
M_tot ... 0.00 μB per cell
ΔH_f (0 K) ... 17 meV/atom
Crystal system ... tetragonal

The structure in CIF format:
```
data_Tb15Dy4Er
_chemical_formula_sum 'Tb15 Dy4 Er1'
_cell_length_a 5.018
_cell_length_b 5.018
_cell_length_c 25.082
_cell_angle_alpha 90.00
_cell_angle_beta 90.00
_cell_angle_gamma 90.00
_space_group_name_H-M_alt 'P 1'
_space_group_IT_number 1
loop_
_space_group_symop_operation_xyz
'x,y,z'
loop_
_atom_site_label
_atom_site_fract_x
_atom_site_fract_y
_atom_site_fract_z
Tb1 0.500 0.000 0.900
Tb2 0.500 0.500 0.600
Tb3 0.500 0.000 0.300
Tb4 0.000 0.500 0.100
Tb5 0.500 0.000 0.500
Tb6 0.500 0.000 0.100
Tb7 0.000 0.500 0.500
Tb8 0.500 0.500 0.200
Tb9 0.000 0.500 0.300
Tb10 0.500 0.500 0.400
Tb11 0.500 0.000 0.700
Tb12 0.000 0.500 0.900
Tb13 0.500 0.500 0.800
Tb14 0.500 0.500 0.000
Tb15 0.000 0.500 0.700
Dy1 0.000 0.000 0.200
Dy2 0.000 0.000 0.800
Dy3 0.000 0.000 0.600
Dy4 0.000 0.000 0.400
Er1 0.000 0.000 0.000
```

---

Q: The lowest ΔH_f (0 K) belongs to which entry?
A: Tb6DyEr2